Record 1
# Be3GaBi (PBEsol, relaxed)
# Fermi-level density of states   2.0 states/eV/cell
# E_form   795 meV/atom
# Total energy   -0.115 Ha/atom
data_Be3GaBi
_chemical_formula_sum 'Be3 Ga1 Bi1'
_cell_length_a 4.354
_cell_length_b 4.354
_cell_length_c 4.354
_cell_angle_alpha 90.00
_cell_angle_beta 90.00
_cell_angle_gamma 90.00
_symmetry_space_group_name_H-M 'P m -3 m'
_symmetry_Int_Tables_number 221
_symmetry_space_group_name_Hall '-P 4 2 3'
loop_
_atom_site_label
_atom_site_type_symbol
_atom_site_fract_x
_atom_site_fract_y
_atom_site_fract_z
Be1 Be 0.000 0.000 0.500
Ga1 Ga 0.000 0.000 0.000
Bi1 Bi 0.500 0.500 0.500

***

Record 2
# Be2AlW (PBEsol, relaxed)
# Fermi-level density of states   2.4 states/eV/cell
# E_form   205 meV/atom
# Total energy   -0.230 Ha/atom
data_Be2AlW
_chemical_formula_sum 'Be2 Al1 W1'
_cell_length_a 2.767
_cell_length_b 2.767
_cell_length_c 6.173
_cell_angle_alpha 90.00
_cell_angle_beta 90.00
_cell_angle_gamma 90.00
_symmetry_space_group_name_H-M 'P 4 m m'
_symmetry_Int_Tables_number 99
_symmetry_space_group_name_Hall 'P 4 -2'
loop_
_atom_site_label
_atom_site_type_symbol
_atom_site_fract_x
_atom_site_fract_y
_atom_site_fract_z
Be1 Be 0.000 0.000 0.000
Be2 Be 0.500 0.500 0.159
Al1 Al 0.500 0.500 0.735
W1 W 0.000 0.000 0.418

***

Record 3
# In3RhN (PBEsol, relaxed)
# Fermi-level density of states   2.8 states/eV/cell
# E_form (uncorrected)   246 kJ/mol of formula units
# Total energy   -0.170 Ha/atom
data_In3RhN
_chemical_formula_sum 'In3 Rh1 N1'
_cell_length_a 4.461
_cell_length_b 4.461
_cell_length_c 4.461
_cell_angle_alpha 90.00
_cell_angle_beta 90.00
_cell_angle_gamma 90.00
_symmetry_space_group_name_H-M 'P m -3 m'
_symmetry_Int_Tables_number 221
_symmetry_space_group_name_Hall '-P 4 2 3'
loop_
_atom_site_label
_atom_site_type_symbol
_atom_site_fract_x
_atom_site_fract_y
_atom_site_fract_z
In1 In 0.000 0.000 0.500
Rh1 Rh 0.500 0.500 0.500
N1 N 0.000 0.000 0.000

***

Record 4
# ZrBe2Cd (PBEsol, relaxed)
# Fermi-level density of states   5.2 states/eV/cell
# E_form   449 meV/atom
# Total energy   -0.152 Ha/atom
data_ZrBe2Cd
_chemical_formula_sum 'Zr3 Be6 Cd3'
_cell_length_a 2.8384
_cell_length_b 2.8384
_cell_length_c 26.7107
_cell_angle_alpha 90.00
_cell_angle_beta 90.00
_cell_angle_gamma 120.00
_symmetry_space_group_name_H-M 'R -3 m'
_symmetry_Int_Tables_number 166
_symmetry_space_group_name_Hall '-R 3 2"'
loop_
_atom_site_label
_atom_site_type_symbol
_atom_site_fract_x
_atom_site_fract_y
_atom_site_fract_z
Zr1 Zr 0.0000 0.0000 0.0000
Be1 Be 0.0000 0.0000 0.2478
Cd1 Cd 0.0000 0.0000 0.5000

***

Record 5
# AlCdFe (PBEsol, relaxed)
# Fermi-level density of states   1.7 states/eV/cell
# E_form   171 meV/atom
# Total energy   -0.168 Ha/atom
data_AlCdFe
_chemical_formula_sum 'Al1 Cd1 Fe1'
_cell_length_a 2.8226
_cell_length_b 2.8226
_cell_length_c 6.6769
_cell_angle_alpha 90.00
_cell_angle_beta 90.00
_cell_angle_gamma 120.00
_symmetry_space_group_name_H-M 'P 3 m 1'
_symmetry_Int_Tables_number 156
_symmetry_space_group_name_Hall 'P 3 -2"'
loop_
_atom_site_label
_atom_site_type_symbol
_atom_site_fract_x
_atom_site_fract_y
_atom_site_fract_z
Al1 Al 0.0000 0.0000 0.0000
Cd1 Cd 0.6667 0.3333 0.6235
Fe1 Fe 0.3333 0.6667 0.2859

***

Record 6
# AgMo2As (PBEsol, relaxed)
# Fermi-level density of states   6.5 states/eV/cell
# E_form   328 meV/atom
# Total energy   -0.281 Ha/atom
data_AgMo2As
_chemical_formula_sum 'Ag2 Mo4 As2'
_cell_length_a 3.209
_cell_length_b 4.443
_cell_length_c 8.646
_cell_angle_alpha 90.00
_cell_angle_beta 90.00
_cell_angle_gamma 90.00
_symmetry_space_group_name_H-M 'I m m 2'
_symmetry_Int_Tables_number 44
_symmetry_space_group_name_Hall 'I 2 -2'
loop_
_atom_site_label
_atom_site_type_symbol
_atom_site_fract_x
_atom_site_fract_y
_atom_site_fract_z
Ag1 Ag 0.000 0.000 0.000
Mo1 Mo 0.000 0.000 0.479
Mo2 Mo 0.000 0.500 0.225
As1 As 0.000 0.500 0.745